# PBE with a Hubbard U NpCdNiO6, relaxed
# DFT total energy (eV/f.u.): -60.90
data_NpCdNiO6
_chemical_formula_sum 'Np2 Cd2 Ni2 O12'
_space_group_name_H-M_alt 'P -3 1 c'
_space_group_IT_number 163
_space_group_name_Hall '-P 3 2c'
_cell_length_a 5.2847
_cell_length_b 5.2847
_cell_length_c 9.8058
_cell_angle_alpha 90.00
_cell_angle_beta 90.00
_cell_angle_gamma 120.00
loop_
_atom_site_label
_atom_site_fract_x
_atom_site_fract_y
_atom_site_fract_z
_atom_site_occupancy
Np1 0.3333 0.6667 0.2500 1
Cd1 0.0000 0.0000 0.0000 1
Ni1 0.3333 0.6667 0.7500 1
O1 0.0013 0.3565 0.1394 1